Crystalline TcSnP at its relaxed geometry, computed with PBE-GGA.

Symmetry: No. 12
E, eV per atom: -6.77
Formation energy from the elements, eV per atom: -0.176
Distance to the lowest polymorph of the same formula, kJ/mol of atoms: 10.2

a = 5.829 Å, b = 5.829 Å, c = 6.727 Å
α = 114.48°, β = 114.48°, γ = 31.77°
Fractional coordinates of all 6 atoms:
Tc 0.146 0.146 0.012
Tc 0.854 0.854 0.988
Sn 0.447 0.447 0.691
Sn 0.553 0.553 0.309
P 0.214 0.214 0.727
P 0.786 0.786 0.273

Crystalline Y2CoHgMo at its relaxed geometry, computed with PBE-GGA.

Symmetry: No. 123
E, eV per atom: -4.74
Formation energy from the elements, eV per atom: 1.495

a = 5.514 Å, b = 5.514 Å, c = 5.068 Å
α = 90.00°, β = 90.00°, γ = 90.00°
Fractional coordinates of all 5 atoms:
Y 0.000 0.500 0.000
Y 0.500 0.000 0.000
Co 0.000 0.000 0.500
Hg 0.500 0.500 0.000
Mo 0.500 0.500 0.500

Crystalline CuMoPd2 at its relaxed geometry, computed with PBE-GGA.

Symmetry: No. 160
E, eV per atom: -6.35
Formation energy from the elements, eV per atom: -0.026
Distance to the lowest polymorph of the same formula, kJ/mol of atoms: 6.0

a = 8.881 Å, b = 8.881 Å, c = 8.881 Å
α = 18.11°, β = 18.11°, γ = 18.11°
Fractional coordinates of all 4 atoms:
Cu 0.000 0.000 0.000
Mo 0.166 0.166 0.166
Pd 0.415 0.415 0.415
Pd 0.585 0.585 0.585